# PBE CsErMnS4, relaxed
data_CsErMnS4
_chemical_formula_sum 'Cs2 Er2 Mn2 S8'
_space_group_name_H-M_alt 'P 1 21/m 1'
_space_group_IT_number 11
_cell_length_a 6.561
_cell_length_b 6.502
_cell_length_c 9.421
_cell_angle_alpha 90.00
_cell_angle_beta 107.98
_cell_angle_gamma 90.00
loop_
_space_group_symop_operation_xyz
'x,y,z'
'-x,-y,-z'
'-x,y+1/2,-z'
'x,-y+1/2,z'
loop_
_atom_site_label
_atom_site_type_symbol
_atom_site_fract_x
_atom_site_fract_y
_atom_site_fract_z
_atom_site_occupancy
Cs1 Cs 0.236 0.250 0.440 1
Er1 Er 0.271 0.250 0.953 1
Mn1 Mn 0.275 0.750 0.161 1
S1 S 0.064 0.750 0.300 1
S2 S 0.068 0.750 0.935 1
S3 S 0.492 0.000 0.811 1
# - Density of states at the Fermi level: 4.112 states/eV per cell
# - Formation energy from raw total energies: -1.207 eV per atom
# - V: 382.2 Å³ per cell
# - Crystal system: monoclinic
# - Total magnetic moment: 6.00 Bohr magnetons per cell